Entry 1:
{
  "formula": "KZrAl2",
  "functional": "PBE-GGA",
  "state": "relaxed",
  "lattice_angstrom": [[4.618, 0.000, 0.000], [0.000, 3.209, -0.001], [0.000, 0.100, 6.884]],
  "species": ["K", "Al", "Al", "Zr"],
  "fractional_positions": [[0.000, 0.614, 0.472], [0.000, 0.129, 0.968], [0.500, 0.122, 0.200], [0.500, 0.634, 0.859]],
  "space_group": "Pm, No. 6",
  "total_energy_ev_per_atom": -4.065,
  "m_tot_mub_per_cell": 0.0,
  "relative_energy_mev_per_atom": 221.5
}



Entry 2:
{
  "formula": "MgZnTc2",
  "functional": "PBE-GGA",
  "state": "relaxed",
  "lattice_angstrom": [[3.196, 0.000, 0.000], [0.000, 4.233, 0.000], [0.000, 0.000, 4.451]],
  "species": ["Mg", "Tc", "Tc", "Zn"],
  "fractional_positions": [[0.000, 0.500, 0.500], [0.000, 0.000, 0.000], [0.500, 0.500, 0.000], [0.500, 0.000, 0.500]],
  "space_group": "Pmmm, No. 47",
  "total_energy_ev_per_atom": -5.749,
  "m_tot_mub_per_cell": 0.0,
  "relative_energy_mev_per_atom": 202.9
}



Entry 3:
{
  "formula": "Hf3Ga6Pd",
  "functional": "PBE-GGA",
  "state": "relaxed",
  "lattice_angstrom": [[-6.345, -3.230, 0.246], [2.287, -2.174, 6.387], [-2.260, 6.431, 2.071]],
  "species": ["Hf", "Hf", "Hf", "Hf", "Hf", "Hf", "Ga", "Ga", "Ga", "Ga", "Ga", "Ga", "Ga", "Ga", "Ga", "Ga", "Ga", "Ga", "Pd", "Pd"],
  "fractional_positions": [[0.250, 0.817, 0.683], [0.817, 0.683, 0.250], [0.317, 0.750, 0.183], [0.683, 0.250, 0.817], [0.183, 0.317, 0.750], [0.750, 0.183, 0.317], [0.359, 0.087, 0.013], [0.913, 0.987, 0.641], [0.587, 0.859, 0.514], [0.987, 0.641, 0.913], [0.514, 0.587, 0.859], [0.141, 0.486, 0.413], [0.859, 0.514, 0.587], [0.486, 0.413, 0.141], [0.013, 0.359, 0.087], [0.413, 0.141, 0.486], [0.087, 0.013, 0.359], [0.641, 0.913, 0.987], [0.000, 0.000, 0.000], [0.500, 0.500, 0.500]],
  "space_group": "R-3c, No. 167",
  "total_energy_ev_per_atom": -5.762,
  "m_tot_mub_per_cell": 0.0
}



Entry 4:
{
  "formula": "PuReSn",
  "functional": "PBE-GGA",
  "state": "relaxed",
  "lattice_angstrom": [[3.266, 0.000, 0.000], [0.000, 3.266, 0.000], [0.000, 0.000, 10.271]],
  "species": ["Pu", "Pu", "Sn", "Sn", "Re", "Re"],
  "fractional_positions": [[0.000, 0.500, 0.538], [0.500, 0.000, 0.462], [0.500, 0.000, 0.760], [0.000, 0.500, 0.240], [0.000, 0.500, 0.926], [0.500, 0.000, 0.074]],
  "space_group": "P4/nmm, No. 129",
  "total_energy_ev_per_atom": -9.955,
  "m_tot_mub_per_cell": 0.0
}



Entry 5:
{
  "formula": "LiBr3",
  "functional": "PBE-GGA",
  "state": "relaxed",
  "lattice_angstrom": [[5.267, 0.028, 0.051], [-1.786, 4.955, 0.051], [-1.786, -2.557, 4.245]],
  "species": ["Br", "Br", "Br", "Li"],
  "fractional_positions": [[0.000, 0.000, 0.000], [0.500, 0.000, 0.500], [0.500, 0.500, 0.000], [0.000, 0.500, 0.500]],
  "space_group": "Im-3m, No. 229",
  "total_energy_ev_per_atom": -2.159,
  "m_tot_mub_per_cell": 1.0,
  "relative_energy_mev_per_atom": 304.3,
  "formation_energy_uncorrected_mev_per_atom": -426
}



Entry 6:
{
  "formula": "TaPRhCl2",
  "functional": "PBE-GGA",
  "state": "relaxed",
  "lattice_angstrom": [[4.732, 0.000, 0.000], [0.000, 4.732, 0.000], [0.000, 0.000, 4.988]],
  "species": ["P", "Cl", "Cl", "Rh", "Ta"],
  "fractional_positions": [[0.000, 0.000, 0.500], [0.000, 0.500, 0.000], [0.500, 0.000, 0.000], [0.500, 0.500, 0.500], [0.000, 0.000, 0.000]],
  "space_group": "P4/mmm, No. 123",
  "total_energy_ev_per_atom": -5.247,
  "m_tot_mub_per_cell": 1.7,
  "relative_energy_mev_per_atom": 0.0,
  "formation_energy_uncorrected_mev_per_atom": 414
}



Entry 7:
{
  "formula": "Zr2TcOs",
  "functional": "PBE-GGA",
  "state": "relaxed",
  "lattice_angstrom": [[-1.658, -3.951, -1.639], [-0.545, -4.367, 1.296], [-5.134, 0.058, 1.955]],
  "species": ["Os", "Tc", "Zr", "Zr"],
  "fractional_positions": [[0.750, 0.750, 0.750], [0.250, 0.250, 0.250], [0.000, 0.000, 0.000], [0.500, 0.500, 0.500]],
  "space_group": "C2/m, No. 12",
  "total_energy_ev_per_atom": -9.694,
  "m_tot_mub_per_cell": 0.0
}



Entry 8:
{
  "formula": "ScPOsO2",
  "functional": "PBE-GGA",
  "state": "relaxed",
  "lattice_angstrom": [[-0.420, 3.735, 0.772], [-1.759, -0.878, 3.295], [5.069, 0.010, 2.709]],
  "species": ["Sc", "P", "Os", "O", "O"],
  "fractional_positions": [[0.000, 0.000, 0.000], [0.000, 0.000, 0.500], [0.500, 0.500, 0.500], [0.000, 0.500, 0.000], [0.500, 0.000, 0.000]],
  "space_group": "P4/mmm, No. 123",
  "total_energy_ev_per_atom": -6.817,
  "m_tot_mub_per_cell": 4.0,
  "relative_energy_mev_per_atom": 606.9,
  "formation_energy_uncorrected_mev_per_atom": -239
}



Entry 9:
{
  "formula": "Zn2HgC2",
  "functional": "PBE-GGA",
  "state": "relaxed",
  "lattice_angstrom": [[7.133, 0.000, 0.000], [0.000, 7.133, 0.000], [0.000, 0.000, 2.677]],
  "species": ["C", "C", "C", "C", "Zn", "Zn", "Zn", "Zn", "Hg", "Hg"],
  "fractional_positions": [[0.132, 0.632, 0.500], [0.632, 0.868, 0.500], [0.868, 0.368, 0.500], [0.368, 0.132, 0.500], [0.366, 0.866, 0.000], [0.866, 0.634, 0.000], [0.634, 0.134, 0.000], [0.134, 0.366, 0.000], [0.000, 0.000, 0.000], [0.500, 0.500, 0.000]],
  "space_group": "P4/mbm, No. 127",
  "total_energy_ev_per_atom": -2.519,
  "m_tot_mub_per_cell": 0.0,
  "relative_energy_mev_per_atom": 243.6
}